# 1
{"formula": "CaBeH2", "functional": "GGA-PBE", "state": "optimized geometry", "lattice_angstrom": [[-2.0967, 2.0967, 5.1546], [2.0967, -2.0967, 5.1546], [2.0967, 2.0967, -5.1546]], "species": ["Ca", "Ca", "Be", "Be", "H", "H", "H", "H"], "fractional_positions": [[0.0000, 0.0000, 0.0000], [0.7500, 0.2500, 0.5000], [0.2500, 0.7500, 0.5000], [0.5000, 0.5000, 0.0000], [0.3732, 0.1250, 0.7482], [0.3750, 0.6268, 0.7518], [0.3768, 0.6250, 0.2518], [0.8750, 0.6232, 0.2482]]}

---

# 2
{"formula": "Ca2BeH5", "functional": "GGA-PBE", "state": "optimized geometry", "lattice_angstrom": [[-2.4519, 2.4519, 3.3627], [2.4519, -2.4519, 3.3627], [2.4519, 2.4519, -3.3627]], "species": ["Ca", "Ca", "Be", "H", "H", "H", "H", "H"], "fractional_positions": [[0.0000, 0.5000, 0.5000], [0.5000, 0.0000, 0.5000], [0.2456, 0.2456, 0.0000], [0.0220, 0.0220, 0.0000], [0.0289, 0.0289, 0.5377], [0.0289, 0.4912, 0.0000], [0.4912, 0.0289, 0.0000], [0.4912, 0.4912, 0.4623]]}

---

Result set for raw total energy: -23.94 -27.29 eV/cell, one per record in the order listed.
Result set for volume: 90.6 80.9 Å³/cell, one per record in the order listed.